# Ba2CrSe

A relaxed structure of Ba2CrSe (PBE, Alexandria).

Unit cell a=4.7993 b=4.7993 c=6.8728 alpha=90.00 beta=90.00 gamma=90.00
Site moments in Bohr magnetons follow the coordinates.
Fractional positions:
Se (0.5000, 0.5000, 0.8752)  0.02
Cr (0.0000, 0.0000, 0.3742)  4.07
Ba (0.0000, 0.0000, 0.8748)  0.05
Ba (0.5000, 0.5000, 0.3758)  0.03

- raw total energy (Ha/atom) = -0.170
- raw formation energy (eV per atom) = -0.374
- crystal system = tetragonal
- V (A^3/atom) = 39.576
- theoretical density (g/cm³) = 4.25
- magnetization (μB/f.u.) = 4.960